The following is a PBE calculation of an optimized crystal structure of Ce2HoH8, from the Alexandria database.

Unit cell a=6.569 b=6.569 c=6.569 alpha=146.24 beta=133.62 gamma=58.58
Fractional positions:
Ce (0.171, 0.171, 0.000)
Ce (0.829, 0.829, 0.000)
Ho (0.500, 0.500, 0.000)
H (0.094, 0.347, 0.747)
H (0.252, 0.000, 0.252)
H (0.324, 0.824, 0.500)
H (0.401, 0.653, 0.747)
H (0.599, 0.347, 0.253)
H (0.676, 0.176, 0.500)
H (0.748, 0.000, 0.748)
H (0.906, 0.653, 0.253)

Computed properties:
- Raw total energy: -4.49 eV per atom
- Symmetry: Immm (71)
- Density: 6658 kg/m³